! SCAN Sc2CoRu, PBEsol geometry; values from VASP
&SYSTEM
  ibrav = 0, nat = 4, ntyp = 3
/
ATOMIC_SPECIES
Co 58.93 Co.upf
Ru 101.07 Ru.upf
Sc 44.96 Sc.upf
ATOMIC_POSITIONS crystal
Co 0.000 0.000 0.465
Ru 0.500 0.500 0.288
Sc 0.000 0.000 0.062
Sc 0.500 0.500 0.684
CELL_PARAMETERS angstrom
2.997 0.057 0.000
-0.056 2.997 0.000
0.000 0.000 7.647
! final energy: -81.16 eV for the cell shown
! energy of formation: -0.14 eV per atom



! SCAN Co2RuSe, PBEsol geometry; values from VASP
&SYSTEM
  ibrav = 0, nat = 4, ntyp = 3
/
ATOMIC_SPECIES
Ru 101.07 Ru.upf
Co 58.93 Co.upf
Se 78.96 Se.upf
ATOMIC_POSITIONS crystal
Ru 0.500 0.000 0.000
Co 0.000 0.500 0.000
Co 0.000 0.000 0.500
Se 0.500 0.500 0.500
CELL_PARAMETERS angstrom
-2.274 1.393 -0.648
-1.672 -3.577 -1.820
-1.083 0.191 4.206
! final energy: -87.56 eV for the cell shown
! energy relative to the elements, uncorrected: 0.4885 eV/atom



! SCAN Ti2CoRuSe, PBEsol geometry; values from VASP
&SYSTEM
  ibrav = 0, nat = 5, ntyp = 4
/
ATOMIC_SPECIES
Ru 101.07 Ru.upf
Co 58.93 Co.upf
Se 78.96 Se.upf
Ti 47.87 Ti.upf
ATOMIC_POSITIONS crystal
Ru 0.500 0.500 0.500
Co 0.500 0.000 0.000
Se 0.000 0.000 0.000
Ti 0.000 0.000 0.500
Ti 0.000 0.500 0.000
CELL_PARAMETERS angstrom
4.075 0.000 0.000
0.000 4.557 0.000
0.000 0.000 4.557
! final energy: -102.07 eV for the cell shown
! energy relative to the elements, uncorrected: 0.4396 eV/atom



! SCAN CoSiRu2, PBEsol geometry; values from VASP
&SYSTEM
  ibrav = 0, nat = 4, ntyp = 3
/
ATOMIC_SPECIES
Co 58.93 Co.upf
Ru 101.07 Ru.upf
Si 28.09 Si.upf
ATOMIC_POSITIONS crystal
Co 0.000 0.500 0.000
Ru 0.778 0.778 0.556
Ru 0.222 0.222 0.444
Si 0.500 0.000 0.000
CELL_PARAMETERS angstrom
-0.064 2.461 1.331
-1.294 -1.943 3.530
4.696 -0.792 -1.251
! final energy: -97.51 eV for the cell shown
! energy relative to the elements, uncorrected: -0.1334 eV/atom



! SCAN Co2SiRu, PBEsol geometry; values from VASP
&SYSTEM
  ibrav = 0, nat = 4, ntyp = 3
/
ATOMIC_SPECIES
Co 58.93 Co.upf
Ru 101.07 Ru.upf
Si 28.09 Si.upf
ATOMIC_POSITIONS crystal
Co 0.000 0.500 0.000
Co 0.500 0.000 0.000
Ru 0.500 0.500 0.500
Si 0.000 0.000 0.500
CELL_PARAMETERS angstrom
3.518 0.000 0.000
0.000 3.518 0.000
0.000 0.000 3.605
! final energy: -79.63 eV for the cell shown
! energy relative to the elements, uncorrected: -0.0445 eV/atom



! SCAN CoSiRu2, PBEsol geometry; values from VASP
&SYSTEM
  ibrav = 0, nat = 4, ntyp = 3
/
ATOMIC_SPECIES
Co 58.93 Co.upf
Ru 101.07 Ru.upf
Si 28.09 Si.upf
ATOMIC_POSITIONS crystal
Co 0.500 0.500 0.500
Ru 0.000 0.000 0.763
Ru 0.000 0.000 0.237
Si 0.500 0.500 0.000
CELL_PARAMETERS angstrom
-1.473 1.118 2.179
-2.180 -1.758 -0.572
2.328 -4.080 3.667
! final energy: -98.08 eV for the cell shown
! energy relative to the elements, uncorrected: -0.2757 eV/atom



! SCAN CoSiRu2, PBEsol geometry; values from VASP
&SYSTEM
  ibrav = 0, nat = 4, ntyp = 3
/
ATOMIC_SPECIES
Ru 101.07 Ru.upf
Si 28.09 Si.upf
Co 58.93 Co.upf
ATOMIC_POSITIONS crystal
Ru 0.997 0.997 0.995
Ru 0.771 0.271 0.541
Si 0.509 0.509 0.019
Co 0.223 0.723 0.445
CELL_PARAMETERS angstrom
-0.962 0.332 -2.629
1.572 -3.651 -1.036
-3.859 -0.175 2.901
! final energy: -97.88 eV for the cell shown
! energy relative to the elements, uncorrected: -0.2275 eV/atom



! SCAN CoSiRu2, PBEsol geometry; values from VASP
&SYSTEM
  ibrav = 0, nat = 4, ntyp = 3
/
ATOMIC_SPECIES
Ru 101.07 Ru.upf
Si 28.09 Si.upf
Co 58.93 Co.upf
ATOMIC_POSITIONS crystal
Ru 0.000 0.000 0.500
Ru 0.000 0.500 0.000
Si 0.500 0.500 0.500
Co 0.500 0.000 0.000
CELL_PARAMETERS angstrom
2.847 0.000 0.000
0.000 4.109 0.000
0.000 0.000 4.109
! final energy: -98.17 eV for the cell shown
! energy relative to the elements, uncorrected: -0.2996 eV/atom



! SCAN Co2Si2Ru, PBEsol geometry; values from VASP
&SYSTEM
  ibrav = 0, nat = 10, ntyp = 3
/
ATOMIC_SPECIES
Ru 101.07 Ru.upf
Si 28.09 Si.upf
Co 58.93 Co.upf
ATOMIC_POSITIONS crystal
Ru 0.000 0.000 0.000
Ru 0.000 0.500 0.500
Si 0.000 0.350 0.850
Si 0.000 0.850 0.650
Si 0.000 0.650 0.150
Si 0.000 0.150 0.350
Co 0.500 0.146 0.646
Co 0.500 0.646 0.854
Co 0.500 0.854 0.354
Co 0.500 0.354 0.146
CELL_PARAMETERS angstrom
2.582 0.000 0.000
0.000 6.578 0.000
0.000 0.000 6.578
! final energy: -182.61 eV for the cell shown
! energy relative to the elements, uncorrected: -0.3680 eV/atom



! SCAN CoSn2Ru2, PBEsol geometry; values from VASP
&SYSTEM
  ibrav = 0, nat = 5, ntyp = 3
/
ATOMIC_SPECIES
Ru 101.07 Ru.upf
Co 58.93 Co.upf
Sn 118.71 Sn.upf
ATOMIC_POSITIONS crystal
Ru 0.250 0.750 0.500
Ru 0.750 0.250 0.500
Co 0.000 0.000 0.000
Sn 0.401 0.401 0.801
Sn 0.599 0.599 0.199
CELL_PARAMETERS angstrom
3.380 0.000 0.000
0.000 3.380 0.000
-1.690 -1.690 7.759
! final energy: -155.14 eV for the cell shown
! energy of formation: 0.73 eV per atom



! SCAN SrCoRu2, PBEsol geometry; values from VASP
&SYSTEM
  ibrav = 0, nat = 4, ntyp = 3
/
ATOMIC_SPECIES
Ru 101.07 Ru.upf
Co 58.93 Co.upf
Sr 87.62 Sr.upf
ATOMIC_POSITIONS crystal
Ru 0.250 0.250 0.250
Ru 0.750 0.750 0.750
Co 0.000 0.000 0.000
Sr 0.500 0.500 0.500
CELL_PARAMETERS angstrom
4.482 0.000 0.000
2.241 3.882 0.000
2.241 1.294 3.660
! final energy: -105.39 eV for the cell shown
! energy of formation: 0.96 eV per atom



! SCAN SrCoRu2, PBEsol geometry; values from VASP
&SYSTEM
  ibrav = 0, nat = 4, ntyp = 3
/
ATOMIC_SPECIES
Co 58.93 Co.upf
Ru 101.07 Ru.upf
Sr 87.62 Sr.upf
ATOMIC_POSITIONS crystal
Co 0.000 0.500 0.000
Ru 0.712 0.712 0.425
Ru 0.288 0.288 0.575
Sr 0.500 0.000 0.000
CELL_PARAMETERS angstrom
2.733 0.000 0.000
0.000 4.605 0.000
-1.366 -2.302 4.980
! final energy: -106.22 eV for the cell shown
! energy of formation: 0.75 eV per atom